(1)
A plane-wave DFT calculation with GGA-PBE was carried out for a geometry-optimized CsThAlTe4 structure.

Values from the calculation:
raw formation energy	-6.85	eV/f.u.
crystal system	monoclinic

```
data_CsThAlTe4
_chemical_formula_sum 'Cs2 Th2 Al2 Te8'
_cell_length_a 7.261
_cell_length_b 7.675
_cell_length_c 10.588
_cell_angle_alpha 90.00
_cell_angle_beta 109.49
_cell_angle_gamma 90.00
_space_group_name_H-M_alt 'P 1 21/m 1'
_space_group_IT_number 11
_space_group_name_Hall '-P 2yb'
loop_
_atom_site_label
_atom_site_type_symbol
_atom_site_fract_x
_atom_site_fract_y
_atom_site_fract_z
_atom_site_occupancy
Cs1 Cs 0.235 0.250 0.051 1
Th1 Th 0.230 0.250 0.553 1
Al1 Al 0.224 0.750 0.339 1
Te1 Te 0.024 0.512 0.700 1
Te2 Te 0.419 0.750 0.173 1
Te3 Te 0.452 0.750 0.587 1
```


(2)
A plane-wave DFT calculation with GGA-PBE was carried out for a geometry-optimized Cs2ThAlTe5 structure.

Values from the calculation:
raw formation energy	-8.06	eV/f.u.
crystal system	orthorhombic

```
data_Cs2ThAlTe5
_chemical_formula_sum 'Cs8 Th4 Al4 Te20'
_cell_length_a 4.301
_cell_length_b 23.211
_cell_length_c 16.903
_cell_angle_alpha 90.00
_cell_angle_beta 90.00
_cell_angle_gamma 90.00
_space_group_name_H-M_alt 'C m c 21'
_space_group_IT_number 36
_space_group_name_Hall 'C 2c -2'
loop_
_atom_site_label
_atom_site_type_symbol
_atom_site_fract_x
_atom_site_fract_y
_atom_site_fract_z
_atom_site_occupancy
Cs1 Cs 0.000 0.124 0.000 1
Cs2 Cs 0.000 0.140 0.367 1
Th1 Th 0.000 0.198 0.699 1
Al1 Al 0.000 0.426 0.093 1
Te1 Te 0.000 0.056 0.687 1
Te2 Te 0.000 0.311 0.328 1
Te3 Te 0.000 0.312 0.060 1
Te4 Te 0.000 0.329 0.680 1
Te5 Te 0.000 0.485 0.963 1
```


(3)
A plane-wave DFT calculation with GGA-PBE was carried out for a geometry-optimized Cs2UAlTe4 structure.

Values from the calculation:
raw formation energy	-5.51	eV/f.u.
crystal system	tetragonal

```
data_Cs2UAlTe4
_chemical_formula_sum 'Cs4 U2 Al2 Te8'
_cell_length_a 9.368
_cell_length_b 9.368
_cell_length_c 7.646
_cell_angle_alpha 90.00
_cell_angle_beta 90.00
_cell_angle_gamma 90.00
_space_group_name_H-M_alt 'I -4 2 m'
_space_group_IT_number 121
_space_group_name_Hall 'I -4 2'
loop_
_atom_site_label
_atom_site_type_symbol
_atom_site_fract_x
_atom_site_fract_y
_atom_site_fract_z
_atom_site_occupancy
Cs1 Cs 0.000 0.500 0.000 1
U1 U 0.000 0.000 0.000 1
Al1 Al 0.000 0.000 0.500 1
Te1 Te 0.161 0.161 0.714 1
```


(4)
A plane-wave DFT calculation with GGA-PBE was carried out for a geometry-optimized Cs2AlVTe4 structure.

Values from the calculation:
raw formation energy	-5.61	eV/f.u.
crystal system	orthorhombic

```
data_Cs2AlVTe4
_chemical_formula_sum 'Cs16 Al8 V8 Te32'
_cell_length_a 6.555
_cell_length_b 15.475
_cell_length_c 27.375
_cell_angle_alpha 90.00
_cell_angle_beta 90.00
_cell_angle_gamma 90.00
_space_group_name_H-M_alt 'F d d d'
_space_group_IT_number 70
loop_
_space_group_symop_operation_xyz
'x,y,z'
'-x,-y,-z'
'-x+1/4,-y+1/4,z'
'x+1/4,y+1/4,-z'
'x,-y+1/4,-z+1/4'
'-x,y+1/4,z+1/4'
'-x+1/4,y,-z+1/4'
'x+1/4,-y,z+1/4'
'x,y+1/2,z+1/2'
'-x,-y+1/2,-z+1/2'
'-x+1/4,-y+3/4,z+1/2'
'x+1/4,y+3/4,-z+1/2'
'x,-y+3/4,-z+3/4'
'-x,y+3/4,z+3/4'
'-x+1/4,y+1/2,-z+3/4'
'x+1/4,-y+1/2,z+3/4'
'x+1/2,y,z+1/2'
'-x+1/2,-y,-z+1/2'
'-x+3/4,-y+1/4,z+1/2'
'x+3/4,y+1/4,-z+1/2'
'x+1/2,-y+1/4,-z+3/4'
'-x+1/2,y+1/4,z+3/4'
'-x+3/4,y,-z+3/4'
'x+3/4,-y,z+3/4'
'x+1/2,y+1/2,z'
'-x+1/2,-y+1/2,-z'
'-x+3/4,-y+3/4,z'
'x+3/4,y+3/4,-z'
'x+1/2,-y+3/4,-z+1/4'
'-x+1/2,y+3/4,z+1/4'
'-x+3/4,y+1/2,-z+1/4'
'x+3/4,-y+1/2,z+1/4'
loop_
_atom_site_label
_atom_site_type_symbol
_atom_site_fract_x
_atom_site_fract_y
_atom_site_fract_z
_atom_site_occupancy
Cs1 Cs 0.125 0.125 0.306 1
Al1 Al 0.125 0.125 0.625 1
V1 V 0.125 0.125 0.125 1
Te1 Te 0.124 0.280 0.821 1
```


(5)
A plane-wave DFT calculation with GGA-PBE was carried out for a geometry-optimized CsAlTe2W structure.

Values from the calculation:
raw formation energy	6.88	eV/f.u.
crystal system	tetragonal

```
data_CsAlTe2W
_chemical_formula_sum 'Cs1 Al1 Te2 W1'
_cell_length_a 5.361
_cell_length_b 5.361
_cell_length_c 5.648
_cell_angle_alpha 90.00
_cell_angle_beta 90.00
_cell_angle_gamma 90.00
_space_group_name_H-M_alt 'P 4/m m m'
_space_group_IT_number 123
_space_group_name_Hall '-P 4 2'
loop_
_atom_site_label
_atom_site_type_symbol
_atom_site_fract_x
_atom_site_fract_y
_atom_site_fract_z
_atom_site_occupancy
Cs1 Cs 0.000 0.000 0.000 1
Al1 Al 0.000 0.000 0.500 1
Te1 Te 0.000 0.500 0.500 1
W1 W 0.500 0.500 0.000 1
```


(6)
A plane-wave DFT calculation with GGA-PBE was carried out for a geometry-optimized CsYAlTe4 structure.

Values from the calculation:
raw formation energy	-6.54	eV/f.u.
crystal system	monoclinic

```
data_CsYAlTe4
_chemical_formula_sum 'Cs2 Y2 Al2 Te8'
_cell_length_a 7.670
_cell_length_b 6.625
_cell_length_c 10.790
_cell_angle_alpha 90.00
_cell_angle_beta 106.16
_cell_angle_gamma 90.00
_space_group_name_H-M_alt 'P 1 21/m 1'
_space_group_IT_number 11
_space_group_name_Hall '-P 2yb'
loop_
_atom_site_label
_atom_site_type_symbol
_atom_site_fract_x
_atom_site_fract_y
_atom_site_fract_z
_atom_site_occupancy
Cs1 Cs 0.237 0.250 0.050 1
Y1 Y 0.254 0.250 0.551 1
Al1 Al 0.263 0.750 0.339 1
Te1 Te 0.014 0.509 0.697 1
Te2 Te 0.431 0.750 0.583 1
Te3 Te 0.457 0.750 0.181 1
```


(7)
A plane-wave DFT calculation with GGA-PBE was carried out for a geometry-optimized CsAlZn2Te structure.

Values from the calculation:
raw formation energy	1.26	eV/f.u.
crystal system	tetragonal

```
data_CsAlZn2Te
_chemical_formula_sum 'Cs1 Al1 Zn2 Te1'
_cell_length_a 5.120
_cell_length_b 5.120
_cell_length_c 6.435
_cell_angle_alpha 90.00
_cell_angle_beta 90.00
_cell_angle_gamma 90.00
_space_group_name_H-M_alt 'P 4/m m m'
_space_group_IT_number 123
_space_group_name_Hall '-P 4 2'
loop_
_atom_site_label
_atom_site_type_symbol
_atom_site_fract_x
_atom_site_fract_y
_atom_site_fract_z
_atom_site_occupancy
Cs1 Cs 0.000 0.000 0.000 1
Al1 Al 0.000 0.000 0.500 1
Zn1 Zn 0.000 0.500 0.500 1
Te1 Te 0.500 0.500 0.000 1
```


(8)
A plane-wave DFT calculation with GGA-PBE was carried out for a geometry-optimized Cs2ZrAlTe4 structure.

Values from the calculation:
raw formation energy	-6.57	eV/f.u.
crystal system	orthorhombic

```
data_Cs2ZrAlTe4
_chemical_formula_sum 'Cs16 Zr8 Al8 Te32'
_cell_length_a 7.118
_cell_length_b 15.215
_cell_length_c 27.497
_cell_angle_alpha 90.00
_cell_angle_beta 90.00
_cell_angle_gamma 90.00
_space_group_name_H-M_alt 'F d d d'
_space_group_IT_number 70
loop_
_space_group_symop_operation_xyz
'x,y,z'
'-x,-y,-z'
'-x+1/4,-y+1/4,z'
'x+1/4,y+1/4,-z'
'x,-y+1/4,-z+1/4'
'-x,y+1/4,z+1/4'
'-x+1/4,y,-z+1/4'
'x+1/4,-y,z+1/4'
'x,y+1/2,z+1/2'
'-x,-y+1/2,-z+1/2'
'-x+1/4,-y+3/4,z+1/2'
'x+1/4,y+3/4,-z+1/2'
'x,-y+3/4,-z+3/4'
'-x,y+3/4,z+3/4'
'-x+1/4,y+1/2,-z+3/4'
'x+1/4,-y+1/2,z+3/4'
'x+1/2,y,z+1/2'
'-x+1/2,-y,-z+1/2'
'-x+3/4,-y+1/4,z+1/2'
'x+3/4,y+1/4,-z+1/2'
'x+1/2,-y+1/4,-z+3/4'
'-x+1/2,y+1/4,z+3/4'
'-x+3/4,y,-z+3/4'
'x+3/4,-y,z+3/4'
'x+1/2,y+1/2,z'
'-x+1/2,-y+1/2,-z'
'-x+3/4,-y+3/4,z'
'x+3/4,y+3/4,-z'
'x+1/2,-y+3/4,-z+1/4'
'-x+1/2,y+3/4,z+1/4'
'-x+3/4,y+1/2,-z+1/4'
'x+3/4,-y+1/2,z+1/4'
loop_
_atom_site_label
_atom_site_type_symbol
_atom_site_fract_x
_atom_site_fract_y
_atom_site_fract_z
_atom_site_occupancy
Cs1 Cs 0.125 0.125 0.305 1
Zr1 Zr 0.125 0.125 0.125 1
Al1 Al 0.125 0.125 0.625 1
Te1 Te 0.115 0.278 0.822 1
```